[1]
! LiZrCuTe3 | OQMD via LeMat-Bulk | PBE-GGA | optimized geometry; values from VASP
&SYSTEM
  ibrav = 0, nat = 24, ntyp = 4
/
ATOMIC_SPECIES
Cu 63.55 Cu.upf
Li 6.94 Li.upf
Te 127.60 Te.upf
Zr 91.22 Zr.upf
ATOMIC_POSITIONS crystal
Cu 0.2515 0.2500 0.2218
Cu 0.7515 0.2500 0.2782
Cu 0.2485 0.7500 0.7218
Cu 0.7485 0.7500 0.7782
Li 0.2518 0.7500 0.0774
Li 0.7518 0.7500 0.4226
Li 0.2482 0.2500 0.5774
Li 0.7482 0.2500 0.9226
Te 0.0612 0.2500 0.1069
Te 0.4422 0.2500 0.1071
Te 0.7515 0.7500 0.1601
Te 0.2515 0.7500 0.3399
Te 0.9422 0.2500 0.3929
Te 0.5612 0.2500 0.3931
Te 0.4388 0.7500 0.6069
Te 0.0578 0.7500 0.6071
Te 0.7485 0.2500 0.6601
Te 0.2485 0.2500 0.8399
Te 0.5578 0.7500 0.8929
Te 0.9388 0.7500 0.8931
Zr 0.0016 0.7500 0.2497
Zr 0.5016 0.7500 0.2503
Zr 0.4984 0.2500 0.7497
Zr 0.9984 0.2500 0.7503
CELL_PARAMETERS angstrom
-0.8122 -6.5452 -8.4508
3.5311 1.2731 -1.3254
6.4992 -10.3397 7.3835
! Energy above the most stable polymorph in this dataset ... 0.034 eV/f.u.
! SG ... Pnma, No. 62

[2]
! LiZrCuTe3 | OQMD via LeMat-Bulk | PBE-GGA | optimized geometry; values from VASP
&SYSTEM
  ibrav = 0, nat = 24, ntyp = 4
/
ATOMIC_SPECIES
Cu 63.55 Cu.upf
Li 6.94 Li.upf
Te 127.60 Te.upf
Zr 91.22 Zr.upf
ATOMIC_POSITIONS crystal
Cu 0.7509 0.7500 0.2227
Cu 0.2509 0.7500 0.2773
Cu 0.7491 0.2500 0.7227
Cu 0.2491 0.2500 0.7773
Li 0.7707 0.2500 0.0565
Li 0.2707 0.2500 0.4435
Li 0.7293 0.7500 0.5565
Li 0.2293 0.7500 0.9435
Te 0.5848 0.7500 0.0832
Te 0.9389 0.7500 0.1417
Te 0.2100 0.2500 0.1461
Te 0.7100 0.2500 0.3539
Te 0.4389 0.7500 0.3583
Te 0.0848 0.7500 0.4168
Te 0.9152 0.2500 0.5832
Te 0.5611 0.2500 0.6417
Te 0.2900 0.7500 0.6461
Te 0.7900 0.7500 0.8539
Te 0.0611 0.2500 0.8583
Te 0.4152 0.2500 0.9168
Zr 0.4300 0.2500 0.1797
Zr 0.9300 0.2500 0.3203
Zr 0.0700 0.7500 0.6797
Zr 0.5700 0.7500 0.8203
CELL_PARAMETERS angstrom
-11.5326 -0.4939 4.9688
1.1187 -3.1373 2.2847
3.3713 7.4392 8.5643
! Energy above the most stable polymorph in this dataset ... 0.354 eV/f.u.
! SG ... Pnma, No. 62

[3]
! LiZrCu3Te4 | OQMD via LeMat-Bulk | PBE-GGA | optimized geometry; values from VASP
&SYSTEM
  ibrav = 0, nat = 18, ntyp = 4
/
ATOMIC_SPECIES
Cu 63.55 Cu.upf
Li 6.94 Li.upf
Te 127.60 Te.upf
Zr 91.22 Zr.upf
ATOMIC_POSITIONS crystal
Cu 0.7695 0.0080 0.0032
Cu 0.7680 0.4920 0.0032
Cu 0.7282 0.2500 0.2144
Cu 0.2718 0.7500 0.7856
Cu 0.2320 0.5080 0.9968
Cu 0.2305 0.9920 0.9968
Li 0.0898 0.7496 0.4645
Li 0.9102 0.2504 0.5355
Te 0.5006 0.7503 0.0451
Te 0.9741 0.5105 0.2506
Te 0.9740 0.9895 0.2511
Te 0.4764 0.2502 0.4728
Te 0.5236 0.7498 0.5272
Te 0.0260 0.0105 0.7489
Te 0.0259 0.4895 0.7494
Te 0.4994 0.2497 0.9549
Zr 0.2447 0.2499 0.2280
Zr 0.7553 0.7501 0.7720
CELL_PARAMETERS angstrom
6.1785 0.0000 0.0000
0.0028 8.5010 0.0000
0.6170 0.0011 8.8119
! Energy above the most stable polymorph in this dataset ... 0.668 eV/f.u.
! SG ... P-1, No. 2

[4]
! LiZr2CuTe4 | OQMD via LeMat-Bulk | PBE-GGA | optimized geometry; values from VASP
&SYSTEM
  ibrav = 0, nat = 8, ntyp = 4
/
ATOMIC_SPECIES
Cu 63.55 Cu.upf
Li 6.94 Li.upf
Te 127.60 Te.upf
Zr 91.22 Zr.upf
ATOMIC_POSITIONS crystal
Cu 0.0000 0.0000 0.0000
Li 0.2500 0.7500 0.5000
Te 0.1206 0.6480 0.0084
Te 0.3520 0.3604 0.4725
Te 0.8878 0.8794 0.5275
Te 0.6396 0.1122 0.9916
Zr 0.5000 0.5000 0.0000
Zr 0.7500 0.2500 0.5000
CELL_PARAMETERS angstrom
-3.2133 3.2133 6.2117
3.2133 -3.2133 6.2117
3.2133 3.2133 -6.2117
! SG ... I-4, No. 82
! Raw total energy ... -4.8453 eV/atom

[5]
! LiZrCu3Te4 | OQMD via LeMat-Bulk | PBE-GGA | optimized geometry; values from VASP
&SYSTEM
  ibrav = 0, nat = 9, ntyp = 4
/
ATOMIC_SPECIES
Cu 63.55 Cu.upf
Li 6.94 Li.upf
Te 127.60 Te.upf
Zr 91.22 Zr.upf
ATOMIC_POSITIONS crystal
Cu 0.5000 0.5000 0.0000
Cu 0.5000 0.0000 0.5000
Cu 0.0000 0.5000 0.5000
Li 0.0000 0.0000 0.0000
Te 0.2461 0.2461 0.2461
Te 0.7539 0.7539 0.2461
Te 0.7539 0.2461 0.7539
Te 0.2461 0.7539 0.7539
Zr 0.5000 0.5000 0.5000
CELL_PARAMETERS angstrom
-0.5490 5.6025 2.5169
-4.6827 1.2533 -3.8113
-3.9743 -2.2506 4.1430
! Energy above the most stable polymorph in this dataset ... 0.000 eV/f.u.
! SG ... P-43m, No. 215

[6]
! LiZrCuTe3 | OQMD via LeMat-Bulk | PBE-GGA | optimized geometry; values from VASP
&SYSTEM
  ibrav = 0, nat = 12, ntyp = 4
/
ATOMIC_SPECIES
Cu 63.55 Cu.upf
Li 6.94 Li.upf
Te 127.60 Te.upf
Zr 91.22 Zr.upf
ATOMIC_POSITIONS crystal
Cu 0.5504 0.5504 0.2173
Cu 0.4496 0.4496 0.7827
Li 0.8932 0.8932 0.4447
Li 0.1068 0.1068 0.5553
Te 0.0000 0.0000 0.0000
Te 0.3240 0.3240 0.1653
Te 0.6823 0.6823 0.3496
Te 0.5000 0.5000 0.5000
Te 0.3177 0.3177 0.6504
Te 0.6760 0.6760 0.8347
Zr 0.1616 0.1616 0.0868
Zr 0.8384 0.8384 0.9132
CELL_PARAMETERS angstrom
9.4345 -1.9883 0.0000
9.4345 1.9883 0.0000
-1.4627 0.0000 8.0127
! Energy above the most stable polymorph in this dataset ... 0.537 eV/f.u.
! SG ... C2/m, No. 12

> What is the formula in the sixth record?

LiZrCuTe3